Record 1
HgH2NCl | PBE | relaxed

Cell and atoms, written as POSCAR:
```
HgH2NCl
1.0
6.901 0.000 0.000
0.000 4.451 0.000
0.000 0.000 5.167
Hg H N Cl
2 4 2 2
Cartesian
0.000 0.000 0.000
3.451 0.000 0.000
1.725 0.826 1.845
1.725 3.625 1.845
5.176 0.826 3.322
5.176 3.625 3.322
1.725 0.000 1.222
5.176 0.000 3.946
1.725 2.225 3.703
5.176 2.225 1.464
```

Output
Calculated volume = 15.872 Å³ per atom
Magnetization = 0.000 μB per formula unit
Total DFT energy (no corrections) = -0.2781 Ry per atom

Record 2
HgH10N2Cl4O | PBE | relaxed

Cell and atoms, written as POSCAR:
```
HgH10N2Cl4O
1.0
9.184 0.000 0.000
0.000 11.666 0.000
0.000 0.000 9.357
Hg H N Cl O
4 40 8 16 4
Cartesian
0.000 0.000 1.997
0.000 0.000 7.361
4.592 5.833 1.997
4.592 5.833 7.361
0.387 3.176 3.846
0.387 3.176 5.511
0.464 4.615 0.858
0.464 4.615 8.499
0.649 7.943 0.000
0.728 6.102 2.843
0.728 6.102 6.514
0.946 3.198 0.000
1.426 4.246 4.679
1.708 2.540 4.679
2.884 8.373 4.679
3.166 10.079 4.679
3.646 9.031 0.000
3.864 0.270 2.843
3.864 0.270 6.514
3.943 2.110 0.000
4.128 10.448 0.858
4.128 10.448 8.499
4.205 9.008 3.846
4.205 9.008 5.511
4.979 2.657 3.846
4.979 2.657 5.511
5.056 1.218 0.858
5.056 1.218 8.499
5.241 9.556 0.000
5.320 11.396 2.843
5.320 11.396 6.514
5.538 2.635 0.000
6.018 1.587 4.679
6.300 3.293 4.679
7.476 9.126 4.679
7.758 7.420 4.679
8.238 8.467 0.000
8.456 5.563 2.843
8.456 5.563 6.514
8.535 3.723 0.000
8.720 7.051 0.858
8.720 7.051 8.499
8.797 8.490 3.846
8.797 8.490 5.511
0.334 4.036 0.000
0.989 3.300 4.679
3.603 9.133 4.679
4.258 9.869 0.000
4.926 1.797 0.000
5.581 2.533 4.679
8.195 8.366 4.679
8.850 7.630 0.000
1.070 9.553 2.384
1.070 9.553 6.974
1.716 1.019 0.000
1.930 6.449 4.679
2.662 0.616 4.679
2.876 6.852 0.000
3.522 3.720 2.384
3.522 3.720 6.974
5.662 7.945 2.384
5.662 7.945 6.974
6.308 4.813 0.000
6.522 11.049 4.679
7.254 5.217 4.679
7.468 10.646 0.000
8.114 2.113 2.384
8.114 2.113 6.974
0.000 5.833 2.226
0.000 5.833 7.131
4.592 0.000 2.226
4.592 0.000 7.131
```

Output
Calculated volume = 13.924 Å³ per atom
Magnetization = 0.000 μB per formula unit
Total DFT energy (no corrections) = -0.3080 Ry per atom

Record 3
NiHg2HCl | PBE | relaxed

Cell and atoms, written as POSCAR:
```
NiHg2HCl
1.0
5.227 0.000 0.000
0.000 5.227 0.000
0.000 0.000 4.513
Ni Hg H Cl
1 2 1 1
Cartesian
0.000 0.000 0.000
0.000 2.614 0.000
2.614 0.000 0.000
2.614 2.614 2.256
0.000 0.000 2.256
```

Output
Calculated volume = 24.662 Å³ per atom
Magnetization = 0.981 μB per formula unit
Total DFT energy (no corrections) = -0.1441 Ry per atom